1.
! PBE-GGA In2Mo2Os3, optimized geometry; values from VASP
! VASP energy, eV per atom: -8.31
&SYSTEM
  ibrav = 0, nat = 7, ntyp = 3
/
ATOMIC_SPECIES
In 114.82 In.upf
Mo 95.94 Mo.upf
Os 190.23 Os.upf
CELL_PARAMETERS angstrom
-6.266 3.089 3.089
-3.089 3.089 6.266
-3.089 6.266 3.089
ATOMIC_POSITIONS crystal
In 0.238 0.238 0.238
In 0.757 0.757 0.757
Mo 0.003 0.003 0.003
Mo 0.496 0.496 0.496
Os 0.374 0.374 0.374
Os 0.627 0.627 0.627
Os 0.880 0.880 0.880

2.
! PBE-GGA InMo3P5, optimized geometry; values from VASP
! VASP energy, eV per atom: -6.79
&SYSTEM
  ibrav = 0, nat = 9, ntyp = 3
/
ATOMIC_SPECIES
In 114.82 In.upf
Mo 95.94 Mo.upf
P 30.97 P.upf
CELL_PARAMETERS angstrom
-4.118 -1.827 -2.757
0.365 -0.996 5.174
-3.730 6.207 1.459
ATOMIC_POSITIONS crystal
In 0.000 0.000 0.000
Mo 0.500 0.000 0.500
Mo 0.000 0.500 0.500
Mo 0.500 0.500 0.500
P 0.667 0.333 0.228
P 0.333 0.667 0.228
P 0.000 0.000 0.500
P 0.667 0.333 0.772
P 0.333 0.667 0.772

3.
! PBE-GGA InMo3Pb5, optimized geometry; values from VASP
! VASP energy, eV per atom: -5.60
&SYSTEM
  ibrav = 0, nat = 9, ntyp = 3
/
ATOMIC_SPECIES
In 114.82 In.upf
Mo 95.94 Mo.upf
Pb 207.20 Pb.upf
CELL_PARAMETERS angstrom
-2.914 -3.523 -3.226
4.952 -1.562 2.087
-3.991 -3.187 7.085
ATOMIC_POSITIONS crystal
In 0.000 0.000 0.000
Mo 0.500 0.000 0.500
Mo 0.000 0.500 0.500
Mo 0.500 0.500 0.500
Pb 0.667 0.333 0.208
Pb 0.333 0.667 0.208
Pb 0.000 0.000 0.500
Pb 0.667 0.333 0.792
Pb 0.333 0.667 0.792

4.
! PBE-GGA InMo2Pd2, optimized geometry; values from VASP
! VASP energy, eV per atom: -6.67
&SYSTEM
  ibrav = 0, nat = 10, ntyp = 3
/
ATOMIC_SPECIES
In 114.82 In.upf
Mo 95.94 Mo.upf
Pd 106.42 Pd.upf
CELL_PARAMETERS angstrom
-0.885 7.529 1.805
-5.594 -1.878 5.090
1.933 -0.259 2.029
ATOMIC_POSITIONS crystal
In 0.000 0.000 0.000
In 0.500 0.500 0.000
Mo 0.326 0.174 0.500
Mo 0.826 0.326 0.500
Mo 0.174 0.674 0.500
Mo 0.674 0.826 0.500
Pd 0.621 0.121 0.000
Pd 0.121 0.379 0.000
Pd 0.879 0.621 0.000
Pd 0.379 0.879 0.000

5.
! PBE-GGA PuInMo, optimized geometry; values from VASP
! VASP energy, eV per atom: -8.74
&SYSTEM
  ibrav = 0, nat = 3, ntyp = 3
/
ATOMIC_SPECIES
In 114.82 In.upf
Mo 95.94 Mo.upf
Pu 244.00 Pu.upf
CELL_PARAMETERS angstrom
1.524 1.956 3.886
-2.668 0.041 3.759
1.090 -2.626 3.628
ATOMIC_POSITIONS crystal
In 0.250 0.250 0.250
Mo 0.000 0.000 0.000
Pu 0.750 0.750 0.750

6.
! PBE-GGA RbInMo, optimized geometry; values from VASP
! VASP energy, eV per atom: -3.36
&SYSTEM
  ibrav = 0, nat = 3, ntyp = 3
/
ATOMIC_SPECIES
In 114.82 In.upf
Mo 95.94 Mo.upf
Rb 85.47 Rb.upf
CELL_PARAMETERS angstrom
0.000 3.682 3.682
3.682 0.000 3.682
3.682 3.682 0.000
ATOMIC_POSITIONS crystal
In 0.250 0.250 0.250
Mo 0.000 0.000 0.000
Rb 0.750 0.750 0.750

7.
! PBE-GGA In2ReMo, optimized geometry; values from VASP
! VASP energy, eV per atom: -6.56
&SYSTEM
  ibrav = 0, nat = 4, ntyp = 3
/
ATOMIC_SPECIES
In 114.82 In.upf
Mo 95.94 Mo.upf
Re 186.21 Re.upf
CELL_PARAMETERS angstrom
1.670 -1.005 4.229
2.822 3.007 2.164
-1.518 2.352 3.722
ATOMIC_POSITIONS crystal
In 0.000 0.000 0.000
In 0.250 0.250 0.250
Mo 0.750 0.750 0.750
Re 0.500 0.500 0.500

8.
! PBE-GGA InMo6S8, optimized geometry; values from VASP
! VASP energy, eV per atom: -7.37
&SYSTEM
  ibrav = 0, nat = 15, ntyp = 3
/
ATOMIC_SPECIES
In 114.82 In.upf
Mo 95.94 Mo.upf
S 32.06 S.upf
CELL_PARAMETERS angstrom
4.665 2.693 3.735
-4.665 2.693 3.735
0.000 -5.387 3.735
ATOMIC_POSITIONS crystal
In 0.000 0.000 0.000
Mo 0.559 0.415 0.223
Mo 0.223 0.559 0.415
Mo 0.585 0.777 0.441
Mo 0.415 0.223 0.559
Mo 0.777 0.441 0.585
Mo 0.441 0.585 0.777
S 0.376 0.736 0.128
S 0.238 0.238 0.238
S 0.872 0.624 0.264
S 0.736 0.128 0.376
S 0.264 0.872 0.624
S 0.128 0.376 0.736
S 0.762 0.762 0.762
S 0.624 0.264 0.872

9.
! PBE-GGA InMo3Se3, optimized geometry; values from VASP
! VASP energy, eV per atom: -6.97
&SYSTEM
  ibrav = 0, nat = 14, ntyp = 3
/
ATOMIC_SPECIES
In 114.82 In.upf
Mo 95.94 Mo.upf
Se 78.96 Se.upf
CELL_PARAMETERS angstrom
8.989 0.000 0.000
-4.495 7.780 0.000
0.000 0.000 4.527
ATOMIC_POSITIONS crystal
In 0.333 0.666 0.250
In 0.667 0.334 0.750
Mo 0.152 0.186 0.250
Mo 0.034 0.848 0.250
Mo 0.814 0.966 0.250
Mo 0.186 0.034 0.750
Mo 0.966 0.152 0.750
Mo 0.848 0.814 0.750
Se 0.368 0.070 0.250
Se 0.930 0.298 0.250
Se 0.702 0.631 0.250
Se 0.298 0.369 0.750
Se 0.070 0.702 0.750
Se 0.632 0.930 0.750

10.
! PBE-GGA InMo3Se5, optimized geometry; values from VASP
! VASP energy, eV per atom: -5.98
&SYSTEM
  ibrav = 0, nat = 9, ntyp = 3
/
ATOMIC_SPECIES
In 114.82 In.upf
Mo 95.94 Mo.upf
Se 78.96 Se.upf
CELL_PARAMETERS angstrom
-3.411 4.512 -0.372
-2.214 -5.189 0.549
0.147 0.730 7.497
ATOMIC_POSITIONS crystal
In 0.000 0.000 0.000
Mo 0.500 0.000 0.500
Mo 0.000 0.500 0.500
Mo 0.500 0.500 0.500
Se 0.667 0.333 0.235
Se 0.333 0.667 0.235
Se 0.000 0.000 0.500
Se 0.667 0.333 0.765
Se 0.333 0.667 0.765

- What is the VASP energy in the first record?
  -8.31 eV per atom